No. 1
! Y3NiCl (PBE, relaxed); values from VASP
&SYSTEM
  ibrav = 0, nat = 5, ntyp = 3
/
ATOMIC_SPECIES
Y 88.91 Y.upf
Ni 58.69 Ni.upf
Cl 35.45 Cl.upf
CELL_PARAMETERS angstrom
5.310 0.000 0.000
0.000 5.310 0.000
0.000 0.000 5.310
ATOMIC_POSITIONS angstrom
Y 0.000 0.000 2.655
Y 0.000 2.655 0.000
Y 2.655 0.000 0.000
Ni 0.000 0.000 0.000
Cl 2.655 2.655 2.655
! Energy above the lowest structure with this stoichiometry: 0.0000 eV/atom
! Raw formation energy: -24.32 kJ per mole of atoms
! Calculated total energy: -5.656 eV/atom

No. 2
! NaGaBi (PBE, relaxed); values from VASP
&SYSTEM
  ibrav = 0, nat = 3, ntyp = 3
/
ATOMIC_SPECIES
Na 22.99 Na.upf
Ga 69.72 Ga.upf
Bi 208.98 Bi.upf
CELL_PARAMETERS angstrom
-1.927 1.927 5.509
1.927 -1.927 5.509
1.927 1.927 -5.509
ATOMIC_POSITIONS angstrom
Na 0.000 0.000 0.000
Ga 0.000 0.000 3.579
Bi 0.000 0.000 7.620
! Energy above the lowest structure with this stoichiometry: 0.0645 eV/atom
! Calculated total energy: -2.849 eV/atom
! Calculated formation energy: -0.11 eV per atom

No. 3
! Bi2S3 (PBE, relaxed); values from VASP
&SYSTEM
  ibrav = 0, nat = 15, ntyp = 2
/
ATOMIC_SPECIES
Bi 208.98 Bi.upf
S 32.06 S.upf
CELL_PARAMETERS angstrom
8.776 -2.039 0.000
8.776 2.039 0.000
-1.023 0.000 11.307
ATOMIC_POSITIONS angstrom
Bi 0.033 0.000 3.364
Bi 5.479 0.000 4.781
Bi 6.087 0.000 0.398
Bi 10.441 0.000 10.909
Bi 11.050 0.000 6.526
Bi 16.496 0.000 7.943
S 1.618 0.000 8.528
S 2.677 0.000 4.692
S 3.478 0.000 1.205
S 7.364 0.000 9.664
S 8.264 0.000 5.654
S 9.165 0.000 1.643
S 13.051 0.000 10.103
S 13.852 0.000 6.615
S 14.911 0.000 2.779
! Raw formation energy: -32.51 kJ per mole of atoms
! Calculated total energy: -4.366 eV/atom

No. 4
! Hf5HgSb2 (PBE, relaxed); values from VASP
&SYSTEM
  ibrav = 0, nat = 16, ntyp = 3
/
ATOMIC_SPECIES
Hf 178.49 Hf.upf
Hg 200.59 Hg.upf
Sb 121.76 Sb.upf
CELL_PARAMETERS angstrom
2.622 -5.257 0.000
2.622 5.257 0.000
0.000 0.000 13.417
ATOMIC_POSITIONS angstrom
Hf 2.622 4.616 10.063
Hf 2.622 4.035 0.651
Hf 2.622 4.035 6.057
Hf 2.622 0.803 1.275
Hf 2.622 0.803 5.434
Hf 2.622 -0.803 7.983
Hf 2.622 -0.803 12.143
Hf 2.622 -4.035 7.360
Hf 2.622 -4.035 12.766
Hf 2.622 -4.616 3.354
Hg 2.622 2.865 3.354
Hg 2.622 -2.865 10.063
Sb 2.622 2.183 8.286
Sb 2.622 2.183 11.840
Sb 2.622 -2.183 1.577
Sb 2.622 -2.183 5.131
! Raw formation energy: -3.22 kJ per mole of atoms
! Calculated total energy: -7.323 eV/atom

No. 5
! Ba3Pt (PBE, relaxed); values from VASP
&SYSTEM
  ibrav = 0, nat = 4, ntyp = 2
/
ATOMIC_SPECIES
Ba 137.33 Ba.upf
Pt 195.08 Pt.upf
CELL_PARAMETERS angstrom
-2.121 6.120 3.757
2.121 -6.120 3.757
2.121 6.120 -3.757
ATOMIC_POSITIONS angstrom
Ba 0.000 0.000 0.000
Ba 2.121 4.044 0.168
Ba 0.000 2.076 3.925
Pt 0.000 6.120 1.394
! Calculated total energy: -3.349 eV/atom
! Calculated formation energy: -0.40 eV per atom

No. 6
! Cu3Ru (PBE, relaxed); values from VASP
&SYSTEM
  ibrav = 0, nat = 8, ntyp = 2
/
ATOMIC_SPECIES
Cu 63.55 Cu.upf
Ru 101.07 Ru.upf
CELL_PARAMETERS angstrom
5.266 0.000 0.000
-2.633 4.560 0.000
0.000 0.000 4.209
ATOMIC_POSITIONS angstrom
Cu 0.000 1.506 1.052
Cu -1.328 3.807 1.052
Cu 1.305 0.753 3.156
Cu 1.328 3.807 1.052
Cu 3.961 0.753 3.156
Cu 2.633 3.054 3.156
Ru 0.000 3.040 3.156
Ru 2.633 1.520 1.052
! Calculated total energy: -5.119 eV/atom
! Calculated formation energy: 0.27 eV per atom

No. 7
! LiEuSnPb (PBE, relaxed); values from VASP
&SYSTEM
  ibrav = 0, nat = 4, ntyp = 4
/
ATOMIC_SPECIES
Li 6.94 Li.upf
Eu 151.96 Eu.upf
Sn 118.71 Sn.upf
Pb 207.20 Pb.upf
CELL_PARAMETERS angstrom
0.000 3.783 3.783
3.783 0.000 3.783
3.783 3.783 0.000
ATOMIC_POSITIONS angstrom
Li 0.000 0.000 0.000
Eu 3.783 3.783 3.783
Sn 5.675 5.675 5.675
Pb 1.892 1.892 1.892
! Calculated total energy: -5.375 eV/atom
! Calculated formation energy: -0.40 eV per atom

No. 8
! BaZr2Pd (PBE, relaxed); values from VASP
&SYSTEM
  ibrav = 0, nat = 8, ntyp = 3
/
ATOMIC_SPECIES
Ba 137.33 Ba.upf
Zr 91.22 Zr.upf
Pd 106.42 Pd.upf
CELL_PARAMETERS angstrom
-2.677 2.677 9.597
2.677 -2.677 9.597
2.677 2.677 -9.597
ATOMIC_POSITIONS angstrom
Ba 2.677 1.338 2.399
Ba 0.000 1.338 7.197
Zr 0.000 0.000 0.000
Zr 1.338 1.338 -4.798
Zr 1.338 -1.338 4.798
Zr 0.000 2.677 0.000
Pd 2.677 -1.338 7.197
Pd 0.000 4.015 2.399
! Energy above the lowest structure with this stoichiometry: 0.2050 eV/atom
! Calculated total energy: -5.507 eV/atom
! Calculated formation energy: 0.55 eV per atom